Material: PrZnTcH6
Method: DFT, GGA-PBE
State: relaxed

abc: 4.657 4.657 4.530
angles: 90.00 90.00 60.00
Fractional coordinates of all 9 atoms:
1 H 0.488 0.026 0.229
2 H 0.026 0.486 0.229
3 H 0.026 0.488 0.771
4 H 0.488 0.487 0.771
5 H 0.486 0.026 0.771
6 H 0.486 0.488 0.229
7 Pr 0.000 0.000 0.000
8 Tc 0.333 0.333 0.500
9 Zn 0.667 0.667 0.500

* SG: P-6m2 (187)


Material: GdTc4W
Method: DFT, GGA-PBE
State: relaxed

abc: 5.250 5.250 5.250
angles: 60.00 60.00 60.00
Fractional coordinates of all 6 atoms:
1 Tc 0.124 0.625 0.625
2 Tc 0.625 0.625 0.625
3 Tc 0.625 0.625 0.124
4 Tc 0.625 0.124 0.625
5 Gd 0.250 0.250 0.250
6 W 0.000 0.000 0.000

* SG: F-43m (216)


Material: Gd2ErI
Method: DFT, GGA-PBE
State: relaxed

abc: 3.763 3.763 10.736
angles: 79.91 79.91 60.00
Fractional coordinates of all 4 atoms:
1 Gd 0.746 0.746 0.763
2 Gd 0.254 0.254 0.237
3 Er 0.500 0.500 0.500
4 I 0.000 0.000 0.000

* energy relative to the elements, uncorrected: -0.36 eV/atom
* SG: R-3m (166)


Material: TiBrCl3
Method: DFT, GGA-PBE
State: relaxed

abc: 4.836 4.836 4.836
angles: 90.00 90.00 90.00
Fractional coordinates of all 5 atoms:
1 Cl 0.000 0.500 0.000
2 Cl 0.000 0.000 0.500
3 Cl 0.500 0.000 0.000
4 Br 0.500 0.500 0.500
5 Ti 0.000 0.000 0.000

* energy relative to the elements, uncorrected: -0.87 eV/atom
* SG: Pm-3m (221)


Material: La12PrEr6
Method: DFT, GGA-PBE
State: relaxed

abc: 9.339 9.339 9.339
angles: 106.81 106.81 106.81
Fractional coordinates of all 19 atoms:
1 La 0.712 0.869 0.175
2 La 0.518 0.802 0.424
3 La 0.482 0.198 0.576
4 La 0.802 0.424 0.518
5 La 0.825 0.288 0.131
6 La 0.424 0.518 0.802
7 La 0.131 0.825 0.288
8 La 0.869 0.175 0.712
9 La 0.288 0.131 0.825
10 La 0.576 0.482 0.198
11 La 0.175 0.712 0.869
12 La 0.198 0.576 0.482
13 Er 0.923 0.811 0.547
14 Er 0.453 0.077 0.189
15 Er 0.077 0.189 0.453
16 Er 0.811 0.547 0.923
17 Er 0.547 0.923 0.811
18 Er 0.189 0.453 0.077
19 Pr 0.000 0.000 0.000

* SG: R-3 (148)


Material: Ac4NdCo2
Method: DFT, GGA-PBE
State: relaxed

abc: 7.205 9.211 7.473
angles: 112.75 90.00 90.00
Fractional coordinates of all 14 atoms:
1 Co 0.250 0.657 0.627
2 Co 0.750 0.649 0.025
3 Co 0.250 0.351 0.975
4 Co 0.750 0.343 0.373
5 Ac 0.001 0.579 0.286
6 Ac 0.501 0.421 0.714
7 Ac 0.750 0.795 0.774
8 Ac 0.999 0.421 0.714
9 Ac 0.250 0.205 0.226
10 Ac 0.250 0.001 0.674
11 Ac 0.499 0.579 0.286
12 Ac 0.750 0.999 0.326
13 Nd 0.250 0.779 0.002
14 Nd 0.750 0.221 0.998

* SG: P2_1/m (11)


Material: Ac2PuRh4Pb3
Method: DFT, GGA-PBE
State: relaxed

abc: 4.659 4.659 11.354
angles: 90.00 90.00 90.00
Fractional coordinates of all 10 atoms:
1 Ac 0.500 0.000 0.234
2 Ac 0.000 0.500 0.766
3 Rh 0.500 0.500 0.000
4 Rh 0.000 0.500 0.365
5 Rh 0.000 0.000 0.000
6 Rh 0.500 0.000 0.635
7 Pb 0.000 0.500 0.127
8 Pb 0.500 0.000 0.873
9 Pb 0.000 0.000 0.500
10 Pu 0.500 0.500 0.500

* SG: P-4m2 (115)


Material: BTeRhAu
Method: DFT, GGA-PBE
State: relaxed

abc: 2.971 3.009 7.719
angles: 90.00 101.10 90.00
Fractional coordinates of all 4 atoms:
1 Te 0.093 0.500 0.917
2 Au 0.920 0.000 0.572
3 Rh 0.258 0.000 0.246
4 B 0.804 0.500 0.340

* energy relative to the elements, uncorrected: 0.10 eV/atom
* SG: Amm2 (38)


| no. | E (eV per atom) |
| --- | --- |
| 1 | -4.277 |
| 2 | -11.227 |
| 3 | -8.933 |
| 4 | -3.894 |
| 5 | -4.582 |
| 6 | -5.023 |
| 7 | -6.751 |
| 8 | -5.012 |